VASP calculation (PBEsol) on a relaxed NiP2Ru crystal.

Summary:
**DFT total energy**: -7.36 eV per atom
**Energy of formation**: -0.378 eV/atom

Geometry as CIF:
```
data_NiP2Ru
_symmetry_space_group_name_H-M 'P m m 2'
_symmetry_Int_Tables_number 25
_cell_length_a 2.895
_cell_length_b 4.351
_cell_length_c 3.884
_cell_angle_alpha 90.00
_cell_angle_beta 90.00
_cell_angle_gamma 90.00
loop_
_symmetry_equiv_pos_as_xyz
'x,y,z'
'-x,-y,z'
'-x,y,z'
'x,-y,z'
loop_
_atom_site_label
_atom_site_fract_x
_atom_site_fract_y
_atom_site_fract_z
Ni1 0.000 0.000 0.000
P1 0.000 0.500 0.793
P2 0.500 0.000 0.530
Ru1 0.500 0.500 0.304
```